No. 1
This record from Alexandria describes a relaxed BaInOF2 crystal. The functional is PBE-GGA. Values from VASP.

```
&SYSTEM
  ibrav = 0, nat = 5, ntyp = 4
/
ATOMIC_SPECIES
Ba 137.33 Ba.upf
In 114.82 In.upf
O 16.00 O.upf
F 19.00 F.upf
CELL_PARAMETERS angstrom
5.115 0.000 0.000
0.000 5.115 0.000
0.000 0.000 4.586
ATOMIC_POSITIONS crystal
Ba 0.000 0.000 0.000
In 0.500 0.500 0.500
O 0.000 0.000 0.500
F 0.000 0.500 0.000
F 0.500 0.000 0.000
```

Values from the calculation:
Total magnetic moment, μB/f.u.: 0.000
ΔE_f (raw), eV/f.u.: -9.55
V, Å³/f.u.: 120
E, eV for the cell shown: -22.91


No. 2
This record from Alexandria describes a relaxed BaInO2F crystal. The functional is PBE-GGA. Values from VASP.

```
&SYSTEM
  ibrav = 0, nat = 5, ntyp = 4
/
ATOMIC_SPECIES
Ba 137.33 Ba.upf
In 114.82 In.upf
O 16.00 O.upf
F 19.00 F.upf
CELL_PARAMETERS angstrom
4.268 0.000 0.000
0.000 4.268 0.000
0.000 0.000 4.392
ATOMIC_POSITIONS crystal
Ba 0.000 0.000 0.000
In 0.500 0.500 0.500
O 0.000 0.500 0.500
O 0.500 0.000 0.500
F 0.500 0.500 0.000
```

Values from the calculation:
Total magnetic moment, μB/f.u.: 0.000
ΔE_f (raw), eV/f.u.: -11.66
V, Å³/f.u.: 80
E, eV for the cell shown: -28.11


No. 3
This record from Alexandria describes a relaxed BaInO2F crystal. The functional is PBE-GGA. Values from VASP.

```
&SYSTEM
  ibrav = 0, nat = 5, ntyp = 4
/
ATOMIC_SPECIES
Ba 137.33 Ba.upf
In 114.82 In.upf
O 16.00 O.upf
F 19.00 F.upf
CELL_PARAMETERS angstrom
4.504 0.000 0.000
0.000 4.504 0.000
0.000 0.000 5.011
ATOMIC_POSITIONS crystal
Ba 0.000 0.000 0.000
In 0.500 0.500 0.500
O 0.000 0.500 0.000
O 0.500 0.000 0.000
F 0.000 0.000 0.500
```

Values from the calculation:
Total magnetic moment, μB/f.u.: 0.001
ΔE_f (raw), eV/f.u.: -5.43
V, Å³/f.u.: 102
E, eV for the cell shown: -21.88


No. 4
This record from Alexandria describes a relaxed Ba3In2O4F3 crystal. The functional is PBE-GGA. Values from VASP.

```
&SYSTEM
  ibrav = 0, nat = 12, ntyp = 4
/
ATOMIC_SPECIES
Ba 137.33 Ba.upf
In 114.82 In.upf
O 16.00 O.upf
F 19.00 F.upf
CELL_PARAMETERS angstrom
-2.150 2.186 11.506
2.150 -2.186 11.506
2.150 2.186 -11.506
ATOMIC_POSITIONS crystal
Ba 0.000 0.000 0.000
Ba 0.188 0.188 0.000
Ba 0.812 0.812 0.000
In 0.394 0.394 0.000
In 0.606 0.606 0.000
O 0.299 0.299 0.000
O 0.404 0.904 0.500
O 0.596 0.096 0.500
O 0.701 0.701 0.000
F 0.081 0.581 0.500
F 0.500 0.500 0.000
F 0.919 0.419 0.500
```

Values from the calculation:
Total magnetic moment, μB/f.u.: 0.000
ΔE_f (raw), eV/f.u.: -28.92
V, Å³/f.u.: 216
E, eV for the cell shown: -65.61


No. 5
This record from Alexandria describes a relaxed BaInRu2F crystal. The functional is PBE-GGA. Values from VASP.

```
&SYSTEM
  ibrav = 0, nat = 5, ntyp = 4
/
ATOMIC_SPECIES
Ba 137.33 Ba.upf
In 114.82 In.upf
Ru 101.07 Ru.upf
F 19.00 F.upf
CELL_PARAMETERS angstrom
5.080 0.000 0.000
0.000 5.080 0.000
0.000 0.000 7.278
ATOMIC_POSITIONS crystal
Ba 0.000 0.000 0.000
In 0.000 0.000 0.500
Ru 0.000 0.500 0.000
Ru 0.500 0.000 0.000
F 0.500 0.500 0.500
```

Values from the calculation:
Total magnetic moment, μB/f.u.: 2.950
ΔE_f (raw), eV/f.u.: 8.16
V, Å³/f.u.: 188
E, eV for the cell shown: -16.92


No. 6
This record from Alexandria describes a relaxed Ba2InSbF crystal. The functional is PBE-GGA. Values from VASP.

```
&SYSTEM
  ibrav = 0, nat = 5, ntyp = 4
/
ATOMIC_SPECIES
Ba 137.33 Ba.upf
In 114.82 In.upf
Sb 121.76 Sb.upf
F 19.00 F.upf
CELL_PARAMETERS angstrom
6.574 0.000 0.000
0.000 6.574 0.000
0.000 0.000 4.567
ATOMIC_POSITIONS crystal
Ba 0.000 0.500 0.000
Ba 0.500 0.000 0.000
In 0.000 0.000 0.000
Sb 0.500 0.500 0.500
F 0.000 0.000 0.500
```

Values from the calculation:
Total magnetic moment, μB/f.u.: 0.000
ΔE_f (raw), eV/f.u.: -4.31
V, Å³/f.u.: 197
E, eV for the cell shown: -16.89


No. 7
This record from Alexandria describes a relaxed BaInSbF crystal. The functional is PBE-GGA. Values from VASP.

```
&SYSTEM
  ibrav = 0, nat = 8, ntyp = 4
/
ATOMIC_SPECIES
Ba 137.33 Ba.upf
In 114.82 In.upf
Sb 121.76 Sb.upf
F 19.00 F.upf
CELL_PARAMETERS angstrom
5.102 0.000 0.000
0.000 5.102 0.000
0.000 0.000 8.703
ATOMIC_POSITIONS crystal
Ba 0.250 0.250 0.128
Ba 0.750 0.750 0.872
In 0.250 0.750 0.500
In 0.750 0.250 0.500
Sb 0.250 0.250 0.681
Sb 0.750 0.750 0.319
F 0.250 0.750 0.000
F 0.750 0.250 0.000
```

Values from the calculation:
Total magnetic moment, μB/f.u.: 0.000
ΔE_f (raw), eV/f.u.: -6.68
V, Å³/f.u.: 113
E, eV for the cell shown: -34.66


No. 8
This record from Alexandria describes a relaxed BaIn2SiF crystal. The functional is PBE-GGA. Values from VASP.

```
&SYSTEM
  ibrav = 0, nat = 5, ntyp = 4
/
ATOMIC_SPECIES
Ba 137.33 Ba.upf
In 114.82 In.upf
Si 28.09 Si.upf
F 19.00 F.upf
CELL_PARAMETERS angstrom
6.599 0.000 0.000
0.000 6.599 0.000
0.000 0.000 4.666
ATOMIC_POSITIONS crystal
Ba 0.000 0.000 0.000
In 0.000 0.500 0.000
In 0.500 0.000 0.000
Si 0.500 0.500 0.500
F 0.000 0.000 0.500
```

Values from the calculation:
Total magnetic moment, μB/f.u.: 0.000
ΔE_f (raw), eV/f.u.: -0.34
V, Å³/f.u.: 203
E, eV for the cell shown: -15.03


No. 9
This record from Alexandria describes a relaxed BaInSn2F8 crystal. The functional is PBE-GGA. Values from VASP.

```
&SYSTEM
  ibrav = 0, nat = 12, ntyp = 4
/
ATOMIC_SPECIES
Ba 137.33 Ba.upf
In 114.82 In.upf
Sn 118.71 Sn.upf
F 19.00 F.upf
CELL_PARAMETERS angstrom
6.258 0.000 0.000
0.000 4.300 0.000
-0.009 0.000 8.472
ATOMIC_POSITIONS crystal
Ba 0.000 0.000 0.000
In 0.000 0.000 0.500
Sn 0.457 0.500 0.746
Sn 0.543 0.500 0.254
F 0.186 0.500 0.579
F 0.187 0.000 0.277
F 0.254 0.500 0.959
F 0.321 0.000 0.767
F 0.679 0.000 0.233
F 0.746 0.500 0.041
F 0.813 0.000 0.723
F 0.814 0.500 0.421
```

Values from the calculation:
Total magnetic moment, μB/f.u.: 0.000
ΔE_f (raw), eV/f.u.: -31.11
V, Å³/f.u.: 228
E, eV for the cell shown: -58.75


No. 10
This record from Alexandria describes a relaxed BaSr2InF crystal. The functional is PBE-GGA. Values from VASP.

```
&SYSTEM
  ibrav = 0, nat = 5, ntyp = 4
/
ATOMIC_SPECIES
Ba 137.33 Ba.upf
Sr 87.62 Sr.upf
In 114.82 In.upf
F 19.00 F.upf
CELL_PARAMETERS angstrom
5.414 0.000 0.000
0.000 5.414 0.000
0.000 0.000 5.562
ATOMIC_POSITIONS crystal
Ba 0.000 0.000 0.000
Sr 0.000 0.500 0.500
Sr 0.500 0.000 0.500
In 0.500 0.500 0.000
F 0.000 0.000 0.500
```

Values from the calculation:
Total magnetic moment, μB/f.u.: 0.000
ΔE_f (raw), eV/f.u.: -6.16
V, Å³/f.u.: 163
E, eV for the cell shown: -16.05


No. 11
This record from Alexandria describes a relaxed Ba2SrInF crystal. The functional is PBE-GGA. Values from VASP.

```
&SYSTEM
  ibrav = 0, nat = 5, ntyp = 4
/
ATOMIC_SPECIES
Ba 137.33 Ba.upf
Sr 87.62 Sr.upf
In 114.82 In.upf
F 19.00 F.upf
CELL_PARAMETERS angstrom
5.639 0.000 0.000
0.000 5.639 0.000
0.000 0.000 5.374
ATOMIC_POSITIONS crystal
Ba 0.000 0.500 0.000
Ba 0.500 0.000 0.000
Sr 0.000 0.000 0.500
In 0.500 0.500 0.500
F 0.000 0.000 0.000
```

Values from the calculation:
Total magnetic moment, μB/f.u.: 0.000
ΔE_f (raw), eV/f.u.: -6.16
V, Å³/f.u.: 171
E, eV for the cell shown: -16.29


No. 12
This record from Alexandria describes a relaxed BaTi2InF crystal. The functional is PBE-GGA. Values from VASP.

```
&SYSTEM
  ibrav = 0, nat = 5, ntyp = 4
/
ATOMIC_SPECIES
Ba 137.33 Ba.upf
Ti 47.87 Ti.upf
In 114.82 In.upf
F 19.00 F.upf
CELL_PARAMETERS angstrom
5.713 0.000 0.000
0.000 5.713 0.000
0.000 0.000 4.632
ATOMIC_POSITIONS crystal
Ba 0.000 0.000 0.000
Ti 0.000 0.500 0.000
Ti 0.500 0.000 0.000
In 0.500 0.500 0.500
F 0.000 0.000 0.500
```

Values from the calculation:
Total magnetic moment, μB/f.u.: 4.842
ΔE_f (raw), eV/f.u.: 2.75
V, Å³/f.u.: 151
E, eV for the cell shown: -19.58


Copy entry 3 word for word.
This record from Alexandria describes a relaxed BaInO2F crystal. The functional is PBE-GGA. Values from VASP.

```
&SYSTEM
  ibrav = 0, nat = 5, ntyp = 4
/
ATOMIC_SPECIES
Ba 137.33 Ba.upf
In 114.82 In.upf
O 16.00 O.upf
F 19.00 F.upf
CELL_PARAMETERS angstrom
4.504 0.000 0.000
0.000 4.504 0.000
0.000 0.000 5.011
ATOMIC_POSITIONS crystal
Ba 0.000 0.000 0.000
In 0.500 0.500 0.500
O 0.000 0.500 0.000
O 0.500 0.000 0.000
F 0.000 0.000 0.500
```

Values from the calculation:
Total magnetic moment, μB/f.u.: 0.001
ΔE_f (raw), eV/f.u.: -5.43
V, Å³/f.u.: 102
E, eV for the cell shown: -21.88